(1)
A relaxed Li2ZnMo crystal, computed with PBE-GGA.

Computed properties:
Energy of formation, eV per formula unit: 0.7

POSCAR file:
```
Li2ZnMo
1.0
-0.032 0.141 2.569
-1.937 -1.692 0.069
6.021 -6.876 0.454
Li Mo Zn
2 1 1
Direct
0.000 0.000 0.994
0.000 0.000 0.506
0.500 0.500 0.250
0.500 0.500 0.750
```

(2)
A relaxed HoTm2Mg5 crystal, computed with PBE-GGA.

Computed properties:
Energy of formation, eV per formula unit: -0.4

POSCAR file:
```
HoTm2Mg5
1.0
-3.136 0.009 -4.168
-3.856 -1.985 2.897
1.218 7.938 2.365
Ho Tm Mg
1 2 5
Direct
0.000 0.000 0.000
0.745 0.745 0.491
0.255 0.255 0.509
0.500 0.500 0.000
0.879 0.379 0.758
0.379 0.879 0.758
0.121 0.621 0.242
0.621 0.121 0.242
```

(3)
A relaxed La4PmDy5 crystal, computed with PBE-GGA.

Computed properties:
Energy of formation, eV per formula unit: 1.8

POSCAR file:
```
La4PmDy5
1.0
-2.873 -2.825 -4.314
1.194 -9.282 5.283
-9.311 1.699 5.089
La Pm Dy
8 2 10
Direct
0.627 0.000 0.705
0.627 0.705 0.000
0.627 0.295 0.000
0.627 0.000 0.295
0.373 0.500 0.205
0.373 0.795 0.500
0.373 0.205 0.500
0.373 0.500 0.795
0.615 0.000 0.000
0.385 0.500 0.500
0.153 0.840 0.840
0.153 0.160 0.840
0.000 0.500 0.000
0.153 0.840 0.160
0.153 0.160 0.160
0.847 0.660 0.340
0.847 0.340 0.340
0.000 0.000 0.500
0.847 0.340 0.660
0.847 0.660 0.660
```

(4)
A relaxed Zn2H10Cl4O5 crystal, computed with PBE-GGA.

Computed properties:
Final energy, eV/atom: -4.316

POSCAR file:
```
Zn2H10Cl4O5
1.0
7.392 0.000 -0.082
0.000 9.944 0.000
-3.449 0.000 14.956
Zn H Cl O
8 40 16 20
Direct
0.780 0.236 0.153
0.280 0.264 0.653
0.220 0.764 0.847
0.720 0.736 0.347
0.455 0.241 0.348
0.955 0.259 0.848
0.545 0.759 0.652
0.045 0.741 0.152
0.706 0.390 0.002
0.206 0.110 0.502
0.294 0.610 0.998
0.794 0.890 0.498
0.517 0.339 0.020
0.017 0.161 0.520
0.483 0.661 0.980
0.983 0.839 0.480
0.110 0.165 0.114
0.610 0.335 0.614
0.890 0.835 0.886
0.390 0.665 0.386
0.105 0.323 0.118
0.605 0.177 0.618
0.895 0.677 0.882
0.395 0.823 0.382
0.710 0.976 0.081
0.210 0.524 0.581
0.290 0.024 0.919
0.790 0.476 0.419
0.730 0.081 0.007
0.230 0.419 0.507
0.270 0.919 0.993
0.770 0.581 0.493
0.996 0.418 0.274
0.496 0.082 0.774
0.004 0.582 0.726
0.504 0.918 0.226
0.787 0.476 0.237
0.287 0.024 0.737
0.213 0.524 0.763
0.713 0.976 0.263
0.010 0.080 0.291
0.510 0.420 0.791
0.990 0.920 0.709
0.490 0.580 0.209
0.850 0.159 0.321
0.350 0.341 0.821
0.150 0.841 0.679
0.650 0.659 0.179
0.473 0.232 0.200
0.973 0.268 0.700
0.527 0.768 0.800
0.027 0.732 0.300
0.295 0.056 0.380
0.795 0.444 0.880
0.705 0.944 0.620
0.205 0.556 0.120
0.759 0.254 0.428
0.259 0.246 0.928
0.241 0.746 0.572
0.741 0.754 0.072
0.287 0.425 0.371
0.787 0.075 0.871
0.713 0.575 0.629
0.213 0.925 0.129
0.643 0.368 0.050
0.143 0.132 0.550
0.357 0.632 0.950
0.857 0.868 0.450
0.027 0.242 0.107
0.527 0.258 0.607
0.973 0.758 0.893
0.473 0.742 0.393
0.699 0.073 0.066
0.199 0.427 0.566
0.301 0.927 0.934
0.801 0.573 0.434
0.871 0.399 0.236
0.371 0.101 0.736
0.129 0.601 0.764
0.629 0.899 0.264
0.877 0.107 0.270
0.377 0.393 0.770
0.123 0.893 0.730
0.623 0.607 0.230
```

(5)
A relaxed CaSc2As crystal, computed with PBE-GGA.

Computed properties:
Energy of formation, eV per formula unit: -1.2

POSCAR file:
```
CaSc2As
1.0
-2.895 -3.363 7.276
-7.213 -2.281 -3.924
-3.813 -5.482 0.940
Sc As Ca
4 2 2
Direct
0.706 0.125 0.250
0.044 0.625 0.250
0.375 0.294 0.750
0.875 0.956 0.750
0.000 0.000 0.000
0.750 0.250 0.500
0.500 0.500 0.000
0.250 0.750 0.500
```

(6)
A relaxed Hg2OsRh crystal, computed with PBE-GGA.

Computed properties:
Energy of formation, eV per formula unit: 3.0

POSCAR file:
```
Hg2OsRh
1.0
4.710 0.000 0.000
0.000 4.710 0.000
0.000 0.000 3.123
Hg Os Rh
2 1 1
Direct
0.500 0.000 0.000
0.000 0.500 0.000
0.500 0.500 0.500
0.000 0.000 0.500
```